1.
Compound: LiLa2PuTe4
Source: the Alexandria database
Functional: GGA-PBE
Structure: relaxed

Properties
* raw total energy: -0.454 Ry per atom
* SG: P2/m

abc: 7.7429 4.5093 7.8302
angles: 90.00 109.84 90.00
With the nearest neighbours (Å) after each atom.
Sites, in units of the cell vectors:
Li 0.0000 0.0000 0.0000  6 Te 3.10
La 0.5000 0.0000 0.5000  6 Te 3.26-3.27
La 0.5000 0.5000 0.0000  6 Te 3.22
Pu 0.0000 0.5000 0.5000  6 Te 3.14-3.16
Te 0.2349 0.5000 0.2396  2 Li 3.10, 1 Pu 3.16, 3 La 3.22-3.26
Te 0.2367 0.0000 0.7502  1 Li 3.10, 2 Pu 3.14, 3 La 3.22-3.27
Te 0.7633 0.0000 0.2498  1 Li 3.10, 2 Pu 3.14, 3 La 3.22-3.27
Te 0.7651 0.5000 0.7604  2 Li 3.10, 1 Pu 3.16, 3 La 3.22-3.26


2.
Compound: ZnCo2Br2
Source: the Alexandria database
Functional: GGA-PBE
Structure: relaxed

Properties
* SG: I4/mmm
* energy relative to the lowest polymorph listed for this composition: 0.000 eV/atom

abc: 5.1513 5.1513 5.1513
angles: 121.32 121.32 87.73
With the nearest neighbours (Å) after each atom.
Sites, in units of the cell vectors:
Zn 0.0000 0.0000 0.0000  2 Co 2.52
Co 0.3387 0.3387 0.0000  1 Co 2.40, 1 Zn 2.52, 4 Br 2.61
Co 0.6613 0.6613 0.0000  1 Co 2.40, 1 Zn 2.52, 4 Br 2.61
Br 0.2500 0.7500 0.5000  4 Co 2.61
Br 0.7500 0.2500 0.5000  4 Co 2.61


3.
Compound: Pm2Sm7Tm
Source: the Alexandria database
Functional: GGA-PBE
Structure: relaxed

Properties
* calculated formation energy: 155.1 meV per atom
* SG: Cmmm

abc: 14.9759 14.9759 3.4927
angles: 90.00 90.00 154.30
With the nearest neighbours (Å) after each atom.
Sites, in units of the cell vectors:
Pm 0.2051 0.7949 0.0000  2 Pm 3.49, 8 Sm 3.56-3.79
Pm 0.7949 0.2051 0.0000  2 Pm 3.49, 8 Sm 3.56-3.79
Sm 0.0000 0.0000 0.0000  6 Sm 3.33-3.49
Sm 0.1579 0.3537 0.0000  7 Sm 3.25-3.55, 1 Pm 3.56
Sm 0.3123 0.6877 0.5000  6 Sm 3.49-3.55, 6 Pm 3.58-3.79
Sm 0.3537 0.1579 0.0000  7 Sm 3.25-3.55, 1 Pm 3.56
Sm 0.6463 0.8421 0.0000  7 Sm 3.25-3.55, 1 Pm 3.56
Sm 0.6877 0.3123 0.5000  6 Sm 3.49-3.55, 6 Pm 3.58-3.79
Sm 0.8421 0.6463 0.0000  7 Sm 3.25-3.55, 1 Pm 3.56
Tm 0.5000 0.5000 0.5000  2 Tm 3.49, 12 Sm 3.72-3.76